[1]
{"formula": "Tm5Cu4Au", "functional": "PBE-GGA", "state": "optimized geometry", "lattice_angstrom": [[3.426, 0.000, 0.000], [0.000, 3.426, 0.000], [0.000, 0.000, 17.440]], "species": ["Tm", "Tm", "Tm", "Tm", "Tm", "Cu", "Cu", "Cu", "Cu", "Au"], "fractional_positions": [[0.000, 0.000, 0.000], [0.000, 0.000, 0.197], [0.000, 0.000, 0.394], [0.000, 0.000, 0.606], [0.000, 0.000, 0.803], [0.500, 0.500, 0.099], [0.500, 0.500, 0.295], [0.500, 0.500, 0.705], [0.500, 0.500, 0.901], [0.500, 0.500, 0.500]], "m_tot_mub_per_fu": 0.0, "formation_energy_ev_per_atom": -0.410, "total_energy_ev_per_cell": -46.123, "vol_a3_per_atom": 20.5, "dos_at_fermi_per_ev_cell": 4.45}



[2]
{"formula": "TmCu6Au", "functional": "PBE-GGA", "state": "optimized geometry", "lattice_angstrom": [[4.908, 0.000, 0.000], [0.000, 4.908, 0.000], [0.000, 0.000, 4.908]], "species": ["Tm", "Cu", "Cu", "Cu", "Cu", "Cu", "Cu", "Au"], "fractional_positions": [[0.000, 0.000, 0.000], [0.000, 0.500, 0.255], [0.000, 0.500, 0.745], [0.255, 0.000, 0.500], [0.500, 0.255, 0.000], [0.500, 0.745, 0.000], [0.745, 0.000, 0.500], [0.500, 0.500, 0.500]], "m_tot_mub_per_fu": 0.0, "formation_energy_ev_per_atom": -0.003, "total_energy_ev_per_cell": -32.348, "vol_a3_per_atom": 14.8, "dos_at_fermi_per_ev_cell": 3.48}



[3]
{"formula": "TmCuAu", "functional": "PBE-GGA", "state": "optimized geometry", "lattice_angstrom": [[-1.799, 1.799, 4.400], [1.799, -1.799, 4.400], [1.799, 1.799, -4.400]], "species": ["Tm", "Cu", "Au"], "fractional_positions": [[0.000, 0.000, 0.000], [0.668, 0.668, 0.000], [0.331, 0.331, 0.000]], "relative_energy_mev_per_atom": 0, "m_tot_mub_per_fu": 0.0, "formation_energy_ev_per_atom": -0.572, "total_energy_ev_per_cell": -13.560, "vol_a3_per_atom": 19.0, "dos_at_fermi_per_ev_cell": 1.02}



[4]
{"formula": "Tm4CuAu", "functional": "PBE-GGA", "state": "optimized geometry", "lattice_angstrom": [[6.868, 0.000, 0.000], [0.000, 6.956, 0.000], [-0.337, 0.000, 6.827]], "species": ["Tm", "Tm", "Tm", "Tm", "Tm", "Tm", "Tm", "Tm", "Cu", "Cu", "Au", "Au"], "fractional_positions": [[0.153, 0.159, 0.169], [0.153, 0.341, 0.669], [0.338, 0.654, 0.137], [0.338, 0.846, 0.637], [0.662, 0.154, 0.363], [0.662, 0.346, 0.863], [0.847, 0.659, 0.331], [0.847, 0.841, 0.831], [0.000, 0.000, 0.500], [0.000, 0.500, 0.000], [0.500, 0.000, 0.000], [0.500, 0.500, 0.500]], "m_tot_mub_per_fu": 0.0, "formation_energy_ev_per_atom": -0.219, "total_energy_ev_per_cell": -53.147, "vol_a3_per_atom": 27.2, "dos_at_fermi_per_ev_cell": 16.95}



[5]
{"formula": "Tm12CuAu6", "functional": "PBE-GGA", "state": "optimized geometry", "lattice_angstrom": [[6.312, 3.644, 3.912], [-6.312, 3.644, 3.912], [0.000, -7.289, 3.912]], "species": ["Tm", "Tm", "Tm", "Tm", "Tm", "Tm", "Tm", "Tm", "Tm", "Tm", "Tm", "Tm", "Cu", "Au", "Au", "Au", "Au", "Au", "Au"], "fractional_positions": [[0.048, 0.934, 0.682], [0.066, 0.318, 0.952], [0.179, 0.581, 0.428], [0.318, 0.952, 0.066], [0.419, 0.572, 0.821], [0.428, 0.179, 0.581], [0.572, 0.821, 0.419], [0.581, 0.428, 0.179], [0.682, 0.048, 0.934], [0.821, 0.419, 0.572], [0.934, 0.682, 0.048], [0.952, 0.066, 0.318], [0.000, 0.000, 0.000], [0.135, 0.304, 0.620], [0.304, 0.620, 0.135], [0.380, 0.865, 0.696], [0.620, 0.135, 0.304], [0.696, 0.380, 0.865], [0.865, 0.696, 0.380]], "m_tot_mub_per_fu": 0.0, "formation_energy_ev_per_atom": -0.426, "total_energy_ev_per_cell": -85.517, "vol_a3_per_atom": 28.4, "dos_at_fermi_per_ev_cell": 19.90}



[6]
{"formula": "TmCu9Au2", "functional": "PBE-GGA", "state": "optimized geometry", "lattice_angstrom": [[2.489, 1.437, 7.963], [-2.489, 1.437, 7.963], [0.000, -2.874, 7.963]], "species": ["Tm", "Cu", "Cu", "Cu", "Cu", "Cu", "Cu", "Cu", "Cu", "Cu", "Au", "Au"], "fractional_positions": [[0.000, 0.000, 0.000], [0.081, 0.587, 0.587], [0.334, 0.334, 0.334], [0.413, 0.413, 0.919], [0.413, 0.919, 0.413], [0.500, 0.500, 0.500], [0.587, 0.081, 0.587], [0.587, 0.587, 0.081], [0.666, 0.666, 0.666], [0.919, 0.413, 0.413], [0.141, 0.141, 0.141], [0.859, 0.859, 0.859]], "m_tot_mub_per_fu": 0.0, "formation_energy_ev_per_atom": -0.130, "total_energy_ev_per_cell": -49.456, "vol_a3_per_atom": 14.2, "dos_at_fermi_per_ev_cell": 6.79}